[1]
# AcCuAgGe2 (PBE, relaxed)
# E_tot = -45.0 eV for the cell shown
# volume = 105.3 Å³/f.u.
# DOS(E_F) = 0.370 states/eV per atom
data_AcCuAgGe2
_chemical_formula_sum 'Ac2 Cu2 Ag2 Ge4'
_cell_length_a 4.447
_cell_length_b 4.447
_cell_length_c 10.653
_cell_angle_alpha 90.00
_cell_angle_beta 90.00
_cell_angle_gamma 90.00
_symmetry_space_group_name_H-M 'I -4 m 2'
_symmetry_Int_Tables_number 119
_symmetry_space_group_name_Hall 'I -4 -2'
loop_
_atom_site_label
_atom_site_type_symbol
_atom_site_fract_x
_atom_site_fract_y
_atom_site_fract_z
_atom_site_occupancy
Ac1 Ac 0.000 0.000 0.000 1
Cu1 Cu 0.000 0.500 0.750 1
Ag1 Ag 0.000 0.500 0.250 1
Ge1 Ge 0.000 0.000 0.379 1

[2]
# KEr2Se (PBE, relaxed)
# E_tot = -47.5 eV for the cell shown
# volume = 138.8 Å³/f.u.
# DOS(E_F) = 1.059 states/eV per atom
data_KEr2Se
_chemical_formula_sum 'K3 Er6 Se3'
_cell_length_a 3.8214
_cell_length_b 3.8214
_cell_length_c 32.9170
_cell_angle_alpha 90.00
_cell_angle_beta 90.00
_cell_angle_gamma 120.00
_symmetry_space_group_name_H-M 'R -3 m'
_symmetry_Int_Tables_number 166
_symmetry_space_group_name_Hall '-R 3 2"'
loop_
_atom_site_label
_atom_site_type_symbol
_atom_site_fract_x
_atom_site_fract_y
_atom_site_fract_z
_atom_site_occupancy
K1 K 0.0000 0.0000 0.0000 1
Er1 Er 0.0000 0.0000 0.1142 1
Se1 Se 0.0000 0.0000 0.5000 1

[3]
# CeSmTe2 (PBE, relaxed)
# volume = 114.4 Å³/f.u.
# DOS(E_F) = 1.656 states/eV per atom
# energy relative to the lowest polymorph listed for this composition = 124.4 meV per atom
data_CeSmTe2
_chemical_formula_sum 'Ce1 Sm1 Te2'
_cell_length_a 5.448
_cell_length_b 5.448
_cell_length_c 3.853
_cell_angle_alpha 90.00
_cell_angle_beta 90.00
_cell_angle_gamma 90.00
_symmetry_space_group_name_H-M 'P 4/m m m'
_symmetry_Int_Tables_number 123
_symmetry_space_group_name_Hall '-P 4 2'
loop_
_atom_site_label
_atom_site_type_symbol
_atom_site_fract_x
_atom_site_fract_y
_atom_site_fract_z
_atom_site_occupancy
Ce1 Ce 0.000 0.000 0.000 1
Sm1 Sm 0.500 0.500 0.000 1
Te1 Te 0.000 0.500 0.500 1

[4]
# LaRh2SeS (PBE, relaxed)
# E_tot = -30.0 eV for the cell shown
# volume = 109.0 Å³/f.u.
# DOS(E_F) = 0.781 states/eV per atom
data_LaRh2SeS
_chemical_formula_sum 'La1 Rh2 Se1 S1'
_cell_length_a 4.346
_cell_length_b 4.346
_cell_length_c 5.771
_cell_angle_alpha 90.00
_cell_angle_beta 90.00
_cell_angle_gamma 90.00
_symmetry_space_group_name_H-M 'P 4/m m m'
_symmetry_Int_Tables_number 123
_symmetry_space_group_name_Hall '-P 4 2'
loop_
_atom_site_label
_atom_site_type_symbol
_atom_site_fract_x
_atom_site_fract_y
_atom_site_fract_z
_atom_site_occupancy
La1 La 0.000 0.000 0.000 1
Rh1 Rh 0.000 0.500 0.500 1
Se1 Se 0.500 0.500 0.000 1
S1 S 0.500 0.500 0.500 1

[5]
# CrFe2Au (PBE, relaxed)
# E_tot = -111.1 eV for the cell shown
# volume = 50.6 Å³/f.u.
# DOS(E_F) = 1.491 states/eV per atom
data_CrFe2Au
_chemical_formula_sum 'Cr4 Fe8 Au4'
_cell_length_a 5.869
_cell_length_b 5.869
_cell_length_c 5.869
_cell_angle_alpha 90.00
_cell_angle_beta 90.00
_cell_angle_gamma 90.00
_symmetry_space_group_name_H-M 'F m -3 m'
_symmetry_Int_Tables_number 225
_symmetry_space_group_name_Hall '-F 4 2 3'
loop_
_atom_site_label
_atom_site_type_symbol
_atom_site_fract_x
_atom_site_fract_y
_atom_site_fract_z
_atom_site_occupancy
Cr1 Cr 0.000 0.000 0.000 1
Fe1 Fe 0.250 0.250 0.250 1
Au1 Au 0.000 0.000 0.500 1

[6]
# Lu2ScGa (PBE, relaxed)
# volume = 97.9 Å³/f.u.
# DOS(E_F) = 0.951 states/eV per atom
# energy relative to the lowest polymorph listed for this composition = 0.0 meV per atom
data_Lu2ScGa
_chemical_formula_sum 'Lu2 Sc1 Ga1'
_cell_length_a 3.407
_cell_length_b 3.407
_cell_length_c 8.434
_cell_angle_alpha 90.00
_cell_angle_beta 90.00
_cell_angle_gamma 90.00
_symmetry_space_group_name_H-M 'P 4/m m m'
_symmetry_Int_Tables_number 123
_symmetry_space_group_name_Hall '-P 4 2'
loop_
_atom_site_label
_atom_site_type_symbol
_atom_site_fract_x
_atom_site_fract_y
_atom_site_fract_z
_atom_site_occupancy
Lu1 Lu 0.000 0.000 0.220 1
Sc1 Sc 0.500 0.500 0.500 1
Ga1 Ga 0.500 0.500 0.000 1

[7]
# CsInAs3 (PBE, relaxed)
# volume = 161.1 Å³/f.u.
# DOS(E_F) = 0.881 states/eV per atom
# energy relative to the lowest polymorph listed for this composition = 0.0 meV per atom
data_CsInAs3
_chemical_formula_sum 'Cs1 In1 As3'
_cell_length_a 5.441
_cell_length_b 5.441
_cell_length_c 5.441
_cell_angle_alpha 90.00
_cell_angle_beta 90.00
_cell_angle_gamma 90.00
_symmetry_space_group_name_H-M 'P m -3 m'
_symmetry_Int_Tables_number 221
_symmetry_space_group_name_Hall '-P 4 2 3'
loop_
_atom_site_label
_atom_site_type_symbol
_atom_site_fract_x
_atom_site_fract_y
_atom_site_fract_z
_atom_site_occupancy
Cs1 Cs 0.000 0.000 0.000 1
In1 In 0.500 0.500 0.500 1
As1 As 0.000 0.500 0.500 1

[8]
# FeP2Pb (PBE, relaxed)
# E_tot = -91.2 eV for the cell shown
# volume = 87.6 Å³/f.u.
# DOS(E_F) = 0.739 states/eV per atom
data_FeP2Pb
_chemical_formula_sum 'Fe4 P8 Pb4'
_cell_length_a 5.749
_cell_length_b 5.749
_cell_length_c 10.597
_cell_angle_alpha 90.00
_cell_angle_beta 90.00
_cell_angle_gamma 90.00
_symmetry_space_group_name_H-M 'I -4 2 d'
_symmetry_Int_Tables_number 122
_symmetry_space_group_name_Hall 'I -4 2bw'
loop_
_atom_site_label
_atom_site_type_symbol
_atom_site_fract_x
_atom_site_fract_y
_atom_site_fract_z
_atom_site_occupancy
Fe1 Fe 0.000 0.000 0.000 1
P1 P 0.147 0.250 0.125 1
Pb1 Pb 0.000 0.000 0.500 1

[9]
# PAuO2 (PBE, relaxed)
# E_tot = -61.7 eV for the cell shown
# volume = 56.3 Å³/f.u.
# DOS(E_F) = 0.523 states/eV per atom
data_PAuO2
_chemical_formula_sum 'P3 Au3 O6'
_cell_length_a 2.8179
_cell_length_b 2.8179
_cell_length_c 24.5619
_cell_angle_alpha 90.00
_cell_angle_beta 90.00
_cell_angle_gamma 120.00
_symmetry_space_group_name_H-M 'R -3 m'
_symmetry_Int_Tables_number 166
_symmetry_space_group_name_Hall '-R 3 2"'
loop_
_atom_site_label
_atom_site_type_symbol
_atom_site_fract_x
_atom_site_fract_y
_atom_site_fract_z
_atom_site_occupancy
P1 P 0.0000 0.0000 0.0000 1
Au1 Au 0.0000 0.0000 0.5000 1
O1 O 0.0000 0.0000 0.3722 1

[10]
# CsAcPbO3 (PBE, relaxed)
# E_tot = -71.7 eV for the cell shown
# volume = 159.2 Å³/f.u.
# DOS(E_F) = 0.000 states/eV per atom
data_CsAcPbO3
_chemical_formula_sum 'Cs2 Ac2 Pb2 O6'
_cell_length_a 7.862
_cell_length_b 3.839
_cell_length_c 10.558
_cell_angle_alpha 90.00
_cell_angle_beta 92.06
_cell_angle_gamma 90.00
_symmetry_space_group_name_H-M 'P 1 21/m 1'
_symmetry_Int_Tables_number 11
loop_
_symmetry_equiv_pos_as_xyz
'x,y,z'
'-x,-y,-z'
'-x,y+1/2,-z'
'x,-y+1/2,z'
loop_
_atom_site_label
_atom_site_type_symbol
_atom_site_fract_x
_atom_site_fract_y
_atom_site_fract_z
_atom_site_occupancy
Cs1 Cs 0.154 0.250 0.269 1
Ac1 Ac 0.383 0.250 0.628 1
Pb1 Pb 0.280 0.750 0.911 1
O1 O 0.164 0.250 0.809 1
O2 O 0.338 0.750 0.477 1
O3 O 0.477 0.750 0.772 1

[11]
# AlNi (PBE, relaxed)
# E_tot = -42.0 eV for the cell shown
# volume = 25.2 Å³/f.u.
# DOS(E_F) = 0.560 states/eV per atom
data_AlNi
_chemical_formula_sum 'Al4 Ni4'
_cell_length_a 2.678
_cell_length_b 9.402
_cell_length_c 3.999
_cell_angle_alpha 90.00
_cell_angle_beta 90.00
_cell_angle_gamma 90.00
_symmetry_space_group_name_H-M 'C m c m'
_symmetry_Int_Tables_number 63
_symmetry_space_group_name_Hall '-C 2c 2'
loop_
_atom_site_label
_atom_site_type_symbol
_atom_site_fract_x
_atom_site_fract_y
_atom_site_fract_z
_atom_site_occupancy
Al1 Al 0.000 0.155 0.250 1
Ni1 Ni 0.000 0.421 0.250 1

[12]
# Na2Si4NiPt3 (PBE, relaxed)
# E_tot = -53.8 eV for the cell shown
# volume = 168.1 Å³/f.u.
# DOS(E_F) = 0.474 states/eV per atom
data_Na2Si4NiPt3
_chemical_formula_sum 'Na2 Si4 Ni1 Pt3'
_cell_length_a 4.078
_cell_length_b 4.078
_cell_length_c 10.107
_cell_angle_alpha 90.00
_cell_angle_beta 90.00
_cell_angle_gamma 90.00
_symmetry_space_group_name_H-M 'P -4 m 2'
_symmetry_Int_Tables_number 115
loop_
_symmetry_equiv_pos_as_xyz
'x,y,z'
'y,-x,-z'
'-x,-y,z'
'-y,x,-z'
'-x,y,z'
'-y,-x,-z'
'x,-y,z'
'y,x,-z'
loop_
_atom_site_label
_atom_site_type_symbol
_atom_site_fract_x
_atom_site_fract_y
_atom_site_fract_z
_atom_site_occupancy
Na1 Na 0.000 0.500 0.244 1
Si1 Si 0.000 0.000 0.500 1
Si2 Si 0.000 0.500 0.876 1
Si3 Si 0.500 0.500 0.500 1
Ni1 Ni 0.500 0.500 0.000 1
Pt1 Pt 0.000 0.000 0.000 1
Pt2 Pt 0.000 0.500 0.633 1

Repeat the second record exactly.
# KEr2Se (PBE, relaxed)
# E_tot = -47.5 eV for the cell shown
# volume = 138.8 Å³/f.u.
# DOS(E_F) = 1.059 states/eV per atom
data_KEr2Se
_chemical_formula_sum 'K3 Er6 Se3'
_cell_length_a 3.8214
_cell_length_b 3.8214
_cell_length_c 32.9170
_cell_angle_alpha 90.00
_cell_angle_beta 90.00
_cell_angle_gamma 120.00
_symmetry_space_group_name_H-M 'R -3 m'
_symmetry_Int_Tables_number 166
_symmetry_space_group_name_Hall '-R 3 2"'
loop_
_atom_site_label
_atom_site_type_symbol
_atom_site_fract_x
_atom_site_fract_y
_atom_site_fract_z
_atom_site_occupancy
K1 K 0.0000 0.0000 0.0000 1
Er1 Er 0.0000 0.0000 0.1142 1
Se1 Se 0.0000 0.0000 0.5000 1

Q: What is the DOS(E_F) in the third record?
A: 1.656 states/eV per atom

Q: DOS(E_F) of number 7 (CsInAs3)?
A: 0.881 states/eV per atom